The following is a GGA-PBEsol calculation of an optimized crystal structure of LiCdCu, from Alexandria via LeMat-Bulk.

```
data_LiCdCu
_chemical_formula_sum 'Li4 Cd4 Cu4'
_space_group_name_H-M_alt 'F -4 3 m'
_space_group_IT_number 216
_space_group_name_Hall 'F -4 2 3'
_cell_length_a 5.8582
_cell_length_b 5.8582
_cell_length_c 5.8582
_cell_angle_alpha 90.00
_cell_angle_beta 90.00
_cell_angle_gamma 90.00
loop_
_atom_site_label
_atom_site_fract_x
_atom_site_fract_y
_atom_site_fract_z
Li1 0.0000 0.0000 0.0000
Cd1 0.2500 0.2500 0.7500
Cu1 0.2500 0.2500 0.2500
```

Output
* V: 16.75 Å³ per atom
* formation enthalpy at 0 K: 6.084 kcal/mol of atoms
* energy above the most stable polymorph in this dataset: 32.56 kJ/mol of atoms